Compound: Ta2NbO8
Source: Alexandria via LeMat-Bulk
Functional: PBE
Structure: optimized geometry

Cell: 4.100 5.942 5.942 Å, 69.83 91.46 91.46°
Site moments in Bohr magnetons follow the coordinates.
Sites, in units of the cell vectors:
Ta 0.716 0.366 0.366  -0.03
O 0.738 0.175 0.175  0.12
O 0.764 0.686 0.123  0.16
O 0.236 0.877 0.314  0.16
O 0.248 0.402 0.402  0.06
O 0.236 0.314 0.877  0.16
O 0.262 0.825 0.825  0.12
Ta 0.284 0.634 0.634  -0.03
O 0.752 0.598 0.598  0.06
Nb 0.000 0.000 0.000  -0.07
O 0.764 0.123 0.686  0.16

Total magnetic moment in μB/f.u.: 1.066
DFT total energy in eV for the cell shown: -99.75
Crystal system: monoclinic
Space group: C2/m, No. 12
DOS(E_F) in states/eV per cell: 6.380
E_form (uncorrected) in meV per atom: -2392

---

Compound: PmMg6Ag6
Source: Alexandria via LeMat-Bulk
Functional: PBE
Structure: optimized geometry

Cell: 5.648 7.442 7.442 Å, 79.62 67.70 67.70°
Sites, in units of the cell vectors:
Pm 0.000 0.000 0.000
Ag 0.000 0.000 0.500
Ag 0.500 0.776 0.224
Mg 0.693 0.807 0.807
Mg 0.346 0.654 0.654
Ag 0.000 0.500 0.000
Ag 0.500 0.224 0.776
Ag 0.500 0.500 0.000
Mg 0.654 0.346 0.346
Mg 0.307 0.193 0.193
Mg 0.000 0.658 0.342
Ag 0.500 0.000 0.500
Mg 0.000 0.342 0.658

E_form in eV per atom: -0.195
Total magnetic moment in μB/f.u.: 0.000
DFT total energy in eV for the cell shown: -33.96
Crystal system: orthorhombic
Space group: Immm, No. 71
DOS(E_F) in states/eV per cell: 7.073

---

Compound: Ta2CuP2
Source: Alexandria via LeMat-Bulk
Functional: PBE
Structure: optimized geometry

Cell: 6.787 6.787 3.238 Å, 90.00 90.00 90.00°
Sites, in units of the cell vectors:
Ta 0.650 0.850 0.500
Ta 0.150 0.650 0.500
Ta 0.850 0.350 0.500
P 0.645 0.145 0.000
P 0.355 0.855 0.000
Cu 0.000 0.000 0.000
Cu 0.500 0.500 0.000
Ta 0.350 0.150 0.500
P 0.855 0.645 0.000
P 0.145 0.355 0.000

E_form in eV per atom: -0.400
Total magnetic moment in μB/f.u.: 0.000
DFT total energy in eV for the cell shown: -81.24
Crystal system: tetragonal
Space group: P4/mbm, No. 127
DOS(E_F) in states/eV per cell: 7.604

---

Compound: Cs2PuPbO4
Source: Alexandria via LeMat-Bulk
Functional: PBE
Structure: optimized geometry

Cell: 3.682 6.497 7.234 Å, 108.28 90.00 90.00°
Site moments in Bohr magnetons follow the coordinates.
Sites, in units of the cell vectors:
O 0.500 0.722 0.830  0.08
O 0.500 0.278 0.170  0.08
Cs 0.500 0.000 0.500  0.00
O 0.000 0.305 0.828  0.08
O 0.000 0.695 0.172  0.08
Pu 0.500 0.500 0.000  -4.23
Pb 0.000 0.000 0.000  -0.01
Cs 0.000 0.500 0.500  0.00

Total magnetic moment in μB/f.u.: 4.001
DFT total energy in eV for the cell shown: -54.34
Crystal system: monoclinic
Space group: P2/m, No. 10
DOS(E_F) in states/eV per cell: 5.742
E_form (uncorrected) in meV per atom: -1845

---

Compound: Pr6Te2As3Se
Source: Alexandria via LeMat-Bulk
Functional: PBE
Structure: optimized geometry

Cell: 4.351 8.833 9.850 Å, 104.22 102.76 90.00°
Sites, in units of the cell vectors:
Pr 0.007 0.746 0.013
Pr 0.660 0.600 0.320
As 0.832 0.165 0.664
Te 0.167 0.334 0.333
Se 0.500 0.000 0.000
As 0.500 0.500 0.000
Pr 0.668 0.067 0.337
Pr 0.340 0.400 0.680
Pr 0.993 0.254 0.987
Te 0.833 0.666 0.667
Pr 0.332 0.933 0.663
As 0.168 0.835 0.336

Total magnetic moment in μB/f.u.: 0.000
DFT total energy in eV for the cell shown: -71.55
Crystal system: monoclinic
Space group: C2/m, No. 12
DOS(E_F) in states/eV per cell: 5.039
E_form (uncorrected) in meV per atom: -1597

---

Compound: Tl2ZnTe2
Source: Alexandria via LeMat-Bulk
Functional: PBE
Structure: optimized geometry

Cell: 7.882 7.882 5.240 Å, 90.00 90.00 90.00°
Sites, in units of the cell vectors:
Tl 0.356 0.144 0.500
Te 0.320 0.820 0.000
Zn 0.000 0.000 0.000
Zn 0.500 0.500 0.000
Tl 0.856 0.356 0.500
Tl 0.644 0.856 0.500
Tl 0.144 0.644 0.500
Te 0.820 0.680 0.000
Te 0.180 0.320 0.000
Te 0.680 0.180 0.000

Total magnetic moment in μB/f.u.: 0.000
DFT total energy in eV for the cell shown: -25.43
Crystal system: tetragonal
Space group: P4/mbm, No. 127
DOS(E_F) in states/eV per cell: 1.469
E_form (uncorrected) in meV per atom: -85

---

Compound: VHg3Cl
Source: Alexandria via LeMat-Bulk
Functional: PBE
Structure: optimized geometry

Cell: 5.430 5.430 5.430 Å, 90.00 90.00 90.00°
Site moments in Bohr magnetons follow the coordinates.
Sites, in units of the cell vectors:
Hg 0.000 0.500 0.000  0.06
V 0.000 0.000 0.000  2.93
Hg 0.500 0.000 0.000  0.06
Cl 0.500 0.500 0.500  0.04
Hg 0.000 0.000 0.500  0.06

Total magnetic moment in μB/f.u.: 3.903
DFT total energy in eV for the cell shown: -10.36
Crystal system: cubic
Space group: Pm-3m, No. 221
DOS(E_F) in states/eV per cell: 6.215
E_form (uncorrected) in meV per atom: 303

---

Compound: TbSm4Sn4
Source: Alexandria via LeMat-Bulk
Functional: PBE
Structure: optimized geometry

Cell: 6.358 9.547 9.547 Å, 90.00 90.00 90.00°
Sites, in units of the cell vectors:
Sn 0.868 0.276 0.890
Sn 0.132 0.110 0.276
Tb 0.500 0.500 0.500
Sn 0.368 0.610 0.776
Sn 0.132 0.890 0.724
Sm 0.873 0.584 0.794
Sn 0.632 0.776 0.390
Sm 0.373 0.294 0.916
Sn 0.632 0.224 0.610
Sm 0.873 0.416 0.206
Sn 0.868 0.724 0.110
Sn 0.368 0.390 0.224
Sm 0.627 0.916 0.706
Sm 0.627 0.084 0.294
Tb 0.000 0.000 0.000
Sm 0.373 0.706 0.084
Sm 0.127 0.206 0.584
Sm 0.127 0.794 0.416

E_form in eV per atom: -0.459
Total magnetic moment in μB/f.u.: 0.000
DFT total energy in eV for the cell shown: -87.30
Crystal system: tetragonal
Space group: P4_2/n, No. 86
DOS(E_F) in states/eV per cell: 17.359